First-principles (PBEsol) data for a relaxed structure of Ti2Sb2Pb4O13, as listed in the Alexandria database.

Its uncorrected formation energy is -1.8597 eV per atom.

The space group is Imm2 (No. 44) and the conventional cell measures 7.343, 7.388 and 10.442 Å, with angles of 90.00, 90.00 and 90.00 degrees. The inequivalent atoms are Ti at (0.249, 0.000, 0.000), Sb at (0.000, 0.251, 0.747), Pb at (0.000, 0.260, 0.255), Pb at (0.243, 0.500, 0.002), O at (0.000, 0.000, 0.055), O at (0.000, 0.000, 0.378), O at (0.000, 0.000, 0.672), O at (0.000, 0.500, 0.429), O at (0.000, 0.500, 0.820), O at (0.192, 0.308, 0.620) and O at (0.199, 0.198, 0.871).